A plane-wave DFT calculation with PBE was carried out for a relaxed structure of LaTh3Ru8.

Mass density (kg/m3): 12026
Density of states at the Fermi level (states/eV per cell): 29.72
Formation enthalpy at 0 K (eV/atom): -0.272

a b c (Å): 5.4398 5.4398 26.5669
angles (deg): 90.00 90.00 120.00
Space group R3m (No. 160, hexagonal axes)
Symmetry-distinct sites (fractional):
La (0.0000, 0.0000, 0.0000) (multiplicity 3)
Th (0.0000, 0.0000, 0.3732) (multiplicity 3)
Th (0.0000, 0.0000, 0.4993) (multiplicity 3)
Th (0.0000, 0.0000, 0.8763) (multiplicity 3)
Ru (0.0000, 0.0000, 0.1872) (multiplicity 3)
Ru (0.0000, 0.0000, 0.6873) (multiplicity 3)
Ru (0.0016, 0.5008, 0.4380) (multiplicity 9)
Ru (0.1673, 0.3346, 0.2698) (multiplicity 9)